First-principles (PBE) data for a geometry-optimized MgTeN structure, as listed in Alexandria via LeMat-Bulk.

a = 11.409 Å, b = 4.083 Å, c = 8.164 Å
α = 90.00°, β = 97.39°, γ = 90.00°
Space group P2_1/c (No. 14)
Asymmetric unit:
Mg (0.098, 0.250, 0.392) x4
Te (0.155, 0.749, 0.152) x4
N (0.461, 0.079, 0.979) x4

Computed properties:
**Energy above the most stable polymorph in this dataset**: 0.0 kJ/mol of atoms

***

First-principles (PBE) data for a geometry-optimized Mg2TeN structure, as listed in Alexandria via LeMat-Bulk.

a = 5.938 Å, b = 5.938 Å, c = 9.612 Å
α = 90.00°, β = 90.00°, γ = 90.00°
Space group I-42d (No. 122)
Asymmetric unit:
Mg (0.109, 0.250, 0.125) x8
Te (0.000, 0.000, 0.500) x4
N (0.000, 0.000, 0.000) x4

Computed properties:
**Energy above the most stable polymorph in this dataset**: 0.0 kJ/mol of atoms

***

First-principles (PBE) data for a geometry-optimized MgTe3N structure, as listed in Alexandria via LeMat-Bulk.

a = 5.460 Å, b = 5.460 Å, c = 5.460 Å
α = 90.00°, β = 90.00°, γ = 90.00°
Space group Pm-3m (No. 221)
Asymmetric unit:
Mg (0.000, 0.000, 0.000) x1
Te (0.000, 0.000, 0.500) x3
N (0.500, 0.500, 0.500) x1

Computed properties:
**Energy above the most stable polymorph in this dataset**: 73.3 kJ/mol of atoms

***

The records above give, respectively, E values of -4.8576; -4.1044; -2.6480 eV per atom.